A relaxed SmTm4Hg2 crystal. Source: Alexandria, functional GGA-PBE.

Cell lengths 10.6017, 10.6017, 10.6017 Å; angles 27.19, 27.19, 27.19 degrees
Fractional positions:
Sm 0.0000 0.0000 0.0000
Tm 0.2022 0.2022 0.2022
Tm 0.3955 0.3955 0.3955
Tm 0.6045 0.6045 0.6045
Tm 0.7978 0.7978 0.7978
Hg 0.1018 0.1018 0.1018
Hg 0.8982 0.8982 0.8982

## Properties
DFT formation energy = 0.03 eV per atom
V = 31.36 Å³/atom
Final energy = -23.0 eV for the cell shown
Space-group type = R-3m (166)
Fermi-level density of states = 8.07 states/eV/f.u.